Record 1
# FeAsIr2

A geometry-optimized FeAsIr2 structure (PBE-GGA, Alexandria).

a = 2.8750 Å, b = 2.8750 Å, c = 24.4513 Å
α = 90.00°, β = 90.00°, γ = 120.00°
Space group R-3m (No. 166, hexagonal axes)
Symmetry-distinct sites (fractional):
1 Fe 0.0000 0.0000 0.0000 x3
2 As 0.0000 0.0000 0.5000 x3
3 Ir 0.0000 0.0000 0.2502 x6

Properties
The density of states at the Fermi level comes out at 3.85 states/eV/f.u. Its total energy is -7.5882 eV/atom.

Record 2
# NdYAg

A geometry-optimized NdYAg structure (PBE-GGA, Alexandria).

a = 7.005 Å, b = 5.214 Å, c = 9.360 Å
α = 90.00°, β = 90.00°, γ = 90.00°
Space group Pnma (No. 62)
Symmetry-distinct sites (fractional):
1 Nd 0.157 0.250 0.082 x4
2 Y 0.011 0.250 0.688 x4
3 Ag 0.224 0.250 0.403 x4

Properties
The density of states at the Fermi level comes out at 3.44 states/eV/f.u. The excess energy over the best structure of this formula in the dataset is 0 meV per atom.

Record 3
# MgZn3

A geometry-optimized MgZn3 structure (PBE-GGA, Alexandria).

a = 3.0476 Å, b = 3.0476 Å, c = 25.7760 Å
α = 90.00°, β = 90.00°, γ = 120.00°
Space group R-3m (No. 166, hexagonal axes)
Symmetry-distinct sites (fractional):
1 Mg 0.0000 0.0000 0.0000 x3
2 Zn 0.0000 0.0000 0.2444 x6
3 Zn 0.0000 0.0000 0.5000 x3

Properties
The density of states at the Fermi level comes out at 0.94 states/eV/f.u. Its total energy is -1.3147 eV/atom.

Record 4
# Cs2ZnCuPd

A geometry-optimized Cs2ZnCuPd structure (PBE-GGA, Alexandria).

a = 6.623 Å, b = 6.623 Å, c = 4.866 Å
α = 90.00°, β = 90.00°, γ = 90.00°
Space group P4/mmm (No. 123)
Symmetry-distinct sites (fractional):
1 Cs 0.000 0.500 0.000 x2
2 Zn 0.000 0.000 0.500 x1
3 Cu 0.500 0.500 0.000 x1
4 Pd 0.500 0.500 0.500 x1

Properties
The density of states at the Fermi level comes out at 2.90 states/eV/f.u. Its total energy is -2.1002 eV/atom.

Record 5
# KGaPb3

A geometry-optimized KGaPb3 structure (PBE-GGA, Alexandria).

a = 5.686 Å, b = 5.686 Å, c = 5.686 Å
α = 90.00°, β = 90.00°, γ = 90.00°
Space group Pm-3m (No. 221)
Symmetry-distinct sites (fractional):
1 K 0.000 0.000 0.000 x1
2 Ga 0.500 0.500 0.500 x1
3 Pb 0.000 0.500 0.500 x3

Properties
The density of states at the Fermi level comes out at 3.21 states/eV/f.u. The excess energy over the best structure of this formula in the dataset is 173 meV per atom.

Record 6
# Sr2TiMo

A geometry-optimized Sr2TiMo structure (PBE-GGA, Alexandria).

a = 7.568 Å, b = 7.568 Å, c = 7.568 Å
α = 90.00°, β = 90.00°, γ = 90.00°
Space group Fm-3m (No. 225)
Symmetry-distinct sites (fractional):
1 Sr 0.250 0.250 0.250 x8
2 Ti 0.000 0.000 0.000 x4
3 Mo 0.000 0.000 0.500 x4

Properties
The density of states at the Fermi level comes out at 8.60 states/eV/f.u. The excess energy over the best structure of this formula in the dataset is 0 meV per atom.

Record 7
# Rb2BeSnCl6

A geometry-optimized Rb2BeSnCl6 structure (PBE-GGA, Alexandria).

a = 7.4923 Å, b = 7.4923 Å, c = 23.1303 Å
α = 90.00°, β = 90.00°, γ = 120.00°
Space group R3 (No. 146, hexagonal axes)
Symmetry-distinct sites (fractional):
1 Rb 0.0000 0.0000 0.0000 x3
2 Rb 0.0000 0.0000 0.4983 x3
3 Be 0.0000 0.0000 0.2356 x3
4 Sn 0.0000 0.0000 0.7908 x3
5 Cl 0.0718 0.7166 0.3999 x9
6 Cl 0.0964 0.3923 0.9006 x9

Properties
The density of states at the Fermi level comes out at 0.00 states/eV/f.u. The formation energy from raw total energies is -1.52 eV/atom. The excess energy over the best structure of this formula in the dataset is 0 meV per atom.

Record 8
# MnCrBCl2

A geometry-optimized MnCrBCl2 structure (PBE-GGA, Alexandria).

a = 4.744 Å, b = 4.744 Å, c = 4.309 Å
α = 90.00°, β = 90.00°, γ = 90.00°
Space group P4/mmm (No. 123)
Symmetry-distinct sites (fractional):
1 Mn 0.000 0.000 0.000 x1
2 Cr 0.500 0.500 0.000 x1
3 B 0.500 0.500 0.500 x1
4 Cl 0.000 0.500 0.500 x2

Properties
The density of states at the Fermi level comes out at 5.30 states/eV/f.u. The formation energy from raw total energies is 1.01 eV/atom. The excess energy over the best structure of this formula in the dataset is 185 meV per atom.

Record 9
# Li2Hg2RhO6

A geometry-optimized Li2Hg2RhO6 structure (PBE-GGA, Alexandria).

a = 5.544 Å, b = 8.787 Å, c = 5.710 Å
α = 90.00°, β = 105.18°, γ = 90.00°
Space group C2/m (No. 12)
Symmetry-distinct sites (fractional):
1 Li 0.000 0.159 0.000 x4
2 Hg 0.000 0.191 0.500 x4
3 Rh 0.000 0.500 0.000 x2
4 O 0.126 0.342 0.823 x8
5 O 0.145 0.000 0.776 x4

Properties
The density of states at the Fermi level comes out at 6.52 states/eV/f.u. The formation energy from raw total energies is -0.70 eV/atom.

Record 10
# KBa2I2

A geometry-optimized KBa2I2 structure (PBE-GGA, Alexandria).

a = 6.358 Å, b = 6.358 Å, c = 14.841 Å
α = 90.00°, β = 90.00°, γ = 90.00°
Space group I4/mmm (No. 139)
Symmetry-distinct sites (fractional):
1 K 0.000 0.000 0.000 x2
2 Ba 0.000 0.500 0.250 x4
3 I 0.000 0.000 0.344 x4

Properties
The density of states at the Fermi level comes out at 3.45 states/eV/f.u. The formation energy from raw total energies is -0.86 eV/atom. The excess energy over the best structure of this formula in the dataset is 93 meV per atom.

Record 11
# CsSn3Sb3

A geometry-optimized CsSn3Sb3 structure (PBE-GGA, Alexandria).

a = 11.9921 Å, b = 11.9921 Å, c = 4.2544 Å
α = 90.00°, β = 90.00°, γ = 120.00°
Space group P6_3/m (No. 176)
Symmetry-distinct sites (fractional):
1 Cs 0.3333 0.6667 0.2500 x2
2 Sn 0.0335 0.2077 0.2500 x6
3 Sb 0.0521 0.5948 0.7500 x6

Properties
The density of states at the Fermi level comes out at 1.84 states/eV/f.u. The formation energy from raw total energies is -0.04 eV/atom. The excess energy over the best structure of this formula in the dataset is 13 meV per atom.

Record 12
# ZrSiP2S

A geometry-optimized ZrSiP2S structure (PBE-GGA, Alexandria).

a = 4.476 Å, b = 4.476 Å, c = 4.543 Å
α = 90.00°, β = 90.00°, γ = 90.00°
Space group P4/mmm (No. 123)
Symmetry-distinct sites (fractional):
1 Zr 0.000 0.000 0.000 x1
2 Si 0.500 0.500 0.500 x1
3 P 0.000 0.500 0.500 x2
4 S 0.500 0.500 0.000 x1

Properties
The density of states at the Fermi level comes out at 2.39 states/eV/f.u. The formation energy from raw total energies is 0.15 eV/atom. The excess energy over the best structure of this formula in the dataset is 0 meV per atom.

Record 13
# Ba2AgHg

A geometry-optimized Ba2AgHg structure (PBE-GGA, Alexandria).

a = 8.461 Å, b = 4.878 Å, c = 8.691 Å
α = 90.00°, β = 108.85°, γ = 90.00°
Space group C2/m (No. 12)
Symmetry-distinct sites (fractional):
1 Ba 0.245 0.000 0.236 x4
2 Ag 0.000 0.500 0.000 x2
3 Hg 0.000 0.000 0.500 x2

Properties
The density of states at the Fermi level comes out at 3.37 states/eV/f.u. Its total energy is -2.0383 eV/atom.

Record 14
# Cr4IrBr

A geometry-optimized Cr4IrBr structure (PBE-GGA, Alexandria).

a = 6.880 Å, b = 6.880 Å, c = 6.880 Å
α = 90.00°, β = 90.00°, γ = 90.00°
Space group F-43m (No. 216)
Symmetry-distinct sites (fractional):
1 Cr 0.125 0.125 0.125 x16
2 Ir 0.250 0.250 0.750 x4
3 Br 0.000 0.000 0.500 x4

Properties
The density of states at the Fermi level comes out at 6.89 states/eV/f.u. The formation energy from raw total energies is 0.75 eV/atom.

Record 15
# TcHg2BC

A geometry-optimized TcHg2BC structure (PBE-GGA, Alexandria).

a = 4.469 Å, b = 4.469 Å, c = 4.140 Å
α = 90.00°, β = 90.00°, γ = 90.00°
Space group P4/mmm (No. 123)
Symmetry-distinct sites (fractional):
1 Tc 0.000 0.000 0.000 x1
2 Hg 0.000 0.500 0.500 x2
3 B 0.000 0.000 0.500 x1
4 C 0.500 0.500 0.000 x1

Properties
The density of states at the Fermi level comes out at 2.18 states/eV/f.u. Its total energy is -3.5563 eV/atom.

Record 16
# CuTc3Mo

A geometry-optimized CuTc3Mo structure (PBE-GGA, Alexandria).

a = 4.661 Å, b = 4.661 Å, c = 4.661 Å
α = 90.00°, β = 90.00°, γ = 90.00°
Space group Pm-3m (No. 221)
Symmetry-distinct sites (fractional):
1 Cu 0.000 0.000 0.000 x1
2 Tc 0.000 0.500 0.500 x3
3 Mo 0.500 0.500 0.500 x1

Properties
The density of states at the Fermi level comes out at 4.92 states/eV/f.u. The excess energy over the best structure of this formula in the dataset is 186 meV per atom.

Record 17
# PmAsPd

A geometry-optimized PmAsPd structure (PBE-GGA, Alexandria).

a = 7.2348 Å, b = 7.2348 Å, c = 4.1120 Å
α = 90.00°, β = 90.00°, γ = 120.00°
Space group P-62m (No. 189)
Symmetry-distinct sites (fractional):
1 Pm 0.0000 0.5965 0.0000 x3
2 As 0.0000 0.0000 0.0000 x1
3 As 0.3333 0.6667 0.5000 x2
4 Pd 0.0000 0.2610 0.5000 x3

Properties
The density of states at the Fermi level comes out at 0.41 states/eV/f.u. The excess energy over the best structure of this formula in the dataset is 14 meV per atom.

Record 18
# SeS

A geometry-optimized SeS structure (PBE-GGA, Alexandria).

a = 8.454 Å, b = 8.454 Å, c = 8.454 Å
α = 90.00°, β = 90.00°, γ = 90.00°
Space group I-43m (No. 217)
Symmetry-distinct sites (fractional):
1 Se 0.181 0.181 0.819 x8
2 S 0.176 0.176 0.176 x8

Properties
The density of states at the Fermi level comes out at 1.26 states/eV/f.u. The formation energy from raw total energies is 0.38 eV/atom. The excess energy over the best structure of this formula in the dataset is 338 meV per atom.

Record 19
# ReI3O

A geometry-optimized ReI3O structure (PBE-GGA, Alexandria).

a = 4.880 Å, b = 4.880 Å, c = 4.880 Å
α = 90.00°, β = 90.00°, γ = 90.00°
Space group Pm-3m (No. 221)
Symmetry-distinct sites (fractional):
1 Re 0.000 0.000 0.000 x1
2 I 0.000 0.500 0.500 x3
3 O 0.500 0.500 0.500 x1

Properties
The density of states at the Fermi level comes out at 6.61 states/eV/f.u. The formation energy from raw total energies is 1.69 eV/atom. The excess energy over the best structure of this formula in the dataset is 1956 meV per atom.

Record 20
# Ga2PdO

A geometry-optimized Ga2PdO structure (PBE-GGA, Alexandria).

a = 5.784 Å, b = 5.784 Å, c = 7.289 Å
α = 90.00°, β = 90.00°, γ = 90.00°
Space group I-42d (No. 122)
Symmetry-distinct sites (fractional):
1 Ga 0.191 0.250 0.125 x8
2 Pd 0.000 0.000 0.500 x4
3 O 0.000 0.000 0.000 x4

Properties
The density of states at the Fermi level comes out at 0.12 states/eV/f.u. The formation energy from raw total energies is -0.82 eV/atom. The excess energy over the best structure of this formula in the dataset is 0 meV per atom.